ZrTlNF2 | PBE | relaxed

Geometry as extended XYZ:
```
5
Lattice="4.464 0.000 0.000 0.000 4.464 0.000 0.000 0.000 4.268" Properties=species:S:1:pos:R:3 pbc="T T T"
Zr 0.000 0.000 0.000
Tl 2.232 2.232 2.134
N 2.232 2.232 0.000
F 0.000 2.232 2.134
F 2.232 0.000 2.134
```

Size of the total moment, μB per atom: 0.34
E, Ry per atom: -0.3511
Space-group type: No. 123

=====

CoNi2Os | PBE | relaxed

Geometry as extended XYZ:
```
4
Lattice="1.305 0.754 8.201 -1.305 0.754 8.201 0.000 -1.507 8.201" Properties=species:S:1:pos:R:3 pbc="T T T"
Co 0.000 0.000 0.000
Ni 0.000 0.000 10.190
Ni 0.000 0.000 14.395
Os 0.000 0.000 4.092
```

Energy of formation from the pure elements, meV per atom: 147
Size of the total moment, μB per atom: 0.64
E, Ry per atom: -0.5386
Space-group type: No. 160

=====

Pr2Nd4O | PBE | relaxed

Geometry as extended XYZ:
```
7
Lattice="-2.492 2.492 9.034 2.492 -2.492 9.034 2.492 2.492 -9.034" Properties=species:S:1:pos:R:3 pbc="T T T"
Pr 0.000 0.000 2.955
Pr 0.000 0.000 15.113
Nd 2.492 0.000 0.000
Nd 0.000 0.000 6.574
Nd 0.000 2.492 0.000
Nd 0.000 0.000 11.494
O 0.000 0.000 9.034
```

Size of the total moment, μB per atom: 0.00
E, Ry per atom: -0.3990
Space-group type: No. 139

=====

NaRe2SnRh | PBE | relaxed

Geometry as extended XYZ:
```
5
Lattice="4.814 0.000 0.000 0.000 4.814 0.000 0.000 0.000 5.028" Properties=species:S:1:pos:R:3 pbc="T T T"
Na 0.000 0.000 0.000
Re 0.000 2.407 2.514
Re 2.407 0.000 2.514
Sn 2.407 2.407 0.000
Rh 2.407 2.407 2.514
```

Energy of formation from the pure elements, meV per atom: 1595
Size of the total moment, μB per atom: 0.40
E, Ry per atom: -0.4351
Space-group type: No. 123

=====

LiFe2Cl | PBE | relaxed

Geometry as extended XYZ:
```
4
Lattice="1.451 -2.473 0.000 1.451 2.473 0.000 0.000 0.000 8.542" Properties=species:S:1:pos:R:3 pbc="T T T"
Li 0.000 0.000 0.000
Fe 1.451 0.000 2.266
Fe 1.451 0.000 6.276
Cl 0.000 0.000 4.271
```

Size of the total moment, μB per atom: 1.53
E, Ry per atom: -0.3486
Space-group type: No. 65

=====

TlBMo2 | PBE | relaxed

Geometry as extended XYZ:
```
4
Lattice="0.000 3.122 3.122 3.122 0.000 3.122 3.122 3.122 0.000" Properties=species:S:1:pos:R:3 pbc="T T T"
Tl 0.000 0.000 0.000
B 3.122 3.122 3.122
Mo 1.561 1.561 1.561
Mo 4.684 4.684 4.684
```

Energy of formation from the pure elements, meV per atom: 1149
Size of the total moment, μB per atom: 0.00
E, Ry per atom: -0.4797
Space-group type: No. 225

=====

What is the formula in the first record? ZrTlNF2